No. 1
The following is a DFT calculation (PBE) of a relaxed TbGdAg crystal.

Structure (CIF):
```
data_TbGdAg
_chemical_formula_sum 'Tb1 Gd1 Ag1'
_space_group_name_H-M_alt 'P 3 m 1'
_space_group_IT_number 156
_space_group_name_Hall 'P 3 -2"'
_cell_length_a 5.0760
_cell_length_b 5.0760
_cell_length_c 3.6527
_cell_angle_alpha 90.00
_cell_angle_beta 90.00
_cell_angle_gamma 120.00
loop_
_atom_site_label
_atom_site_type_symbol
_atom_site_fract_x
_atom_site_fract_y
_atom_site_fract_z
Tb1 Tb 0.0000 0.0000 0.0000
Gd1 Gd 0.6667 0.3333 0.5539
Ag1 Ag 0.3333 0.6667 0.2579
```

Calculated values
Crystal system = trigonal
Density = 8.64 Mg/m³
Excess energy over the best structure of this formula in the dataset = 0.48 eV per formula unit
E_form = -0.027 eV per atom
DOS at the Fermi energy = 3.11 states/eV/cell

***

No. 2
The following is a DFT calculation (PBE) of a relaxed Li2AlZn2 crystal.

Structure (CIF):
```
data_Li2AlZn2
_chemical_formula_sum 'Li4 Al2 Zn4'
_space_group_name_H-M_alt 'I 4/m m m'
_space_group_IT_number 139
_space_group_name_Hall '-I 4 2'
_cell_length_a 3.5002
_cell_length_b 3.5002
_cell_length_c 13.5256
_cell_angle_alpha 90.00
_cell_angle_beta 90.00
_cell_angle_gamma 90.00
loop_
_atom_site_label
_atom_site_type_symbol
_atom_site_fract_x
_atom_site_fract_y
_atom_site_fract_z
Li1 Li 0.0000 0.5000 0.2500
Al1 Al 0.0000 0.0000 0.0000
Zn1 Zn 0.0000 0.0000 0.4007
```

Calculated values
Crystal system = tetragonal
Density = 3.44 Mg/m³
Excess energy over the best structure of this formula in the dataset = 1.29 eV per formula unit
E_form = 0.066 eV per atom
DOS at the Fermi energy = 4.39 states/eV/cell

***

No. 3
The following is a DFT calculation (PBE) of a relaxed LuInCu crystal.

Structure (CIF):
```
data_LuInCu
_chemical_formula_sum 'Lu2 In2 Cu2'
_space_group_name_H-M_alt 'I 4 m m'
_space_group_IT_number 107
_space_group_name_Hall 'I 4 -2'
_cell_length_a 3.2754
_cell_length_b 3.2754
_cell_length_c 11.5408
_cell_angle_alpha 90.00
_cell_angle_beta 90.00
_cell_angle_gamma 90.00
loop_
_atom_site_label
_atom_site_type_symbol
_atom_site_fract_x
_atom_site_fract_y
_atom_site_fract_z
Lu1 Lu 0.0000 0.0000 0.0000
In1 In 0.0000 0.0000 0.7038
Cu1 Cu 0.0000 0.0000 0.3505
```

Calculated values
Crystal system = tetragonal
Density = 9.48 Mg/m³
E_form = -0.211 eV per atom
DOS at the Fermi energy = 3.31 states/eV/cell

***

What is the density in the second record?
3.44 Mg/m³

***

What did the second record say?
The following is a DFT calculation (PBE) of a relaxed Li2AlZn2 crystal.

Structure (CIF):
```
data_Li2AlZn2
_chemical_formula_sum 'Li4 Al2 Zn4'
_space_group_name_H-M_alt 'I 4/m m m'
_space_group_IT_number 139
_space_group_name_Hall '-I 4 2'
_cell_length_a 3.5002
_cell_length_b 3.5002
_cell_length_c 13.5256
_cell_angle_alpha 90.00
_cell_angle_beta 90.00
_cell_angle_gamma 90.00
loop_
_atom_site_label
_atom_site_type_symbol
_atom_site_fract_x
_atom_site_fract_y
_atom_site_fract_z
Li1 Li 0.0000 0.5000 0.2500
Al1 Al 0.0000 0.0000 0.0000
Zn1 Zn 0.0000 0.0000 0.4007
```

Calculated values
Crystal system = tetragonal
Density = 3.44 Mg/m³
Excess energy over the best structure of this formula in the dataset = 1.29 eV per formula unit
E_form = 0.066 eV per atom
DOS at the Fermi energy = 4.39 states/eV/cell